Here is a crystal of CaPbW2 relaxed with PBEsol from the Alexandria database. Energies are from meta-GGA SCAN.

abc: 3.2501 3.2501 28.6811
angles: 90.00 90.00 120.00
Space group R3m (No. 160, hexagonal axes)
Asymmetric unit:
Ca 0.0000 0.0000 0.0000 [3 per cell]
Pb 0.0000 0.0000 0.7657 [3 per cell]
W 0.0000 0.0000 0.2432 [3 per cell]
W 0.0000 0.0000 0.5172 [3 per cell]

The total energy is -55.62 eV/atom. The formation energy comes out at 56.74 kJ per mole of atoms.

---

Here is a crystal of ZnAg2H relaxed with PBEsol from the Alexandria database. Energies are from meta-GGA SCAN.

abc: 6.208 6.208 5.399
angles: 90.00 90.00 90.00
Space group I-42d (No. 122)
Asymmetric unit:
Zn 0.000 0.000 0.000 [4 per cell]
Ag 0.164 0.250 0.625 [8 per cell]
H 0.000 0.000 0.500 [4 per cell]

The total energy is -19.66 eV/atom.

---

Here is a crystal of La3Tl relaxed with PBEsol from the Alexandria database. Energies are from meta-GGA SCAN.

abc: 6.324 6.324 6.324
angles: 90.00 90.00 90.00
Space group Pm-3n (No. 223)
Asymmetric unit:
La 0.000 0.250 0.500 [6 per cell]
Tl 0.000 0.000 0.000 [2 per cell]

The total energy is -50.75 eV/atom. The formation energy comes out at -32.32 kJ per mole of atoms.